DFT (PBE) results for AlSe2Cl after structural relaxation.

a = 5.3545 Å, b = 5.3545 Å, c = 6.1039 Å
α = 99.96°, β = 99.96°, γ = 43.72°
Positions (direct):
Al: 0.0000 0.0000 0.0000
Se: 0.6546 0.6546 0.0281
Se: 0.7877 0.7877 0.7380
Cl: 0.9824 0.9824 0.3466

## Properties
Electronic total energy, Ha/atom: -0.14162
Raw formation energy, kJ per mole of atoms: -68.9
E above lowest polymorph, meV per atom: 0